# PbW2F

A geometry-optimized PbW2F structure (GGA+U, the Alexandria database).

a = 5.0555 Å, b = 5.0555 Å, c = 8.2205 Å
α = 72.09°, β = 72.09°, γ = 90.00°
Site moments in Bohr magnetons follow the coordinates.
Positions (direct):
F (0.5000, 0.5000, 0.0000)  0.01
F (0.2500, 0.7500, 0.5000)  0.01
W (0.4815, 0.1250, 0.2500)  1.72
W (0.3750, 0.5185, 0.7500)  1.68
W (0.2685, 0.6250, 0.2500)  1.73
W (0.8750, 0.7315, 0.7500)  1.69
Pb (0.7500, 0.2500, 0.5000)  -0.16
Pb (0.0000, 0.0000, 0.0000)  -0.16

E_tot ... -32.50 eV/cell
Space group ... No. 122
V ... 189 Å³ per cell